Entry from Alexandria via LeMat-Bulk: NbRu2Pb after structural relaxation (GGA-PBE).

Unit cell a=3.2080 b=3.2080 c=6.9356 alpha=90.00 beta=90.00 gamma=90.00
Last column: nearest neighbours and their distance in Å.
Element x y z (fractional)
Nb 0.0000 0.0000 0.0000  8 Ru 2.71
Ru 0.5000 0.5000 0.2140  4 Nb 2.71, 1 Ru 2.97, 4 Pb 3.01
Ru 0.5000 0.5000 0.7860  4 Nb 2.71, 1 Ru 2.97, 4 Pb 3.01
Pb 0.0000 0.0000 0.5000  8 Ru 3.01, 4 Pb 3.21

Summary:
Crystal system   tetragonal
Density   11.7 g cm⁻³
Formation energy   0.09 eV per atom
Space-group type   P4/mmm